Here is TaMn2Hg after structural relaxation from Alexandria. Energies are from PBE.

Output
- DFT formation energy: 0.360 eV per atom
- Symmetry: R-3m, No. 166

Cell lengths 8.6310, 8.6310, 8.6310 Å; angles 20.43, 20.43, 20.43 degrees
Atoms (fractional coordinates):
Ta1 0.0000 0.0000 0.0000
Mn1 0.2565 0.2565 0.2565
Mn2 0.7435 0.7435 0.7435
Hg1 0.5000 0.5000 0.5000

***

Here is Cr2CoGe after structural relaxation from Alexandria. Energies are from PBE.

Output
- DFT formation energy: 0.508 eV per atom
- Symmetry: I-42d, No. 122

Cell lengths 5.2245, 5.2245, 5.2245 Å; angles 102.29, 102.29, 125.05 degrees
Atoms (fractional coordinates):
Cr1 0.0999 0.1250 0.4749
Cr2 0.3750 0.9001 0.0251
Cr3 0.6501 0.6250 0.5251
Cr4 0.8750 0.3499 0.9749
Co1 0.0000 0.0000 0.0000
Co2 0.7500 0.2500 0.5000
Ge1 0.2500 0.7500 0.5000
Ge2 0.5000 0.5000 0.0000

***

Here is BaLi2TlCu after structural relaxation from Alexandria. Energies are from PBE.

Output
- DFT formation energy: -0.033 eV per atom
- Symmetry: P4/mmm, No. 123

Cell lengths 5.1665, 5.1665, 5.0961 Å; angles 90.00, 90.00, 90.00 degrees
Atoms (fractional coordinates):
Ba1 0.0000 0.0000 0.0000
Li1 0.0000 0.5000 0.5000
Li2 0.5000 0.0000 0.5000
Tl1 0.5000 0.5000 0.0000
Cu1 0.5000 0.5000 0.5000

***

Here is Cs4AgSn3I12 after structural relaxation from Alexandria. Energies are from PBE.

Output
- Symmetry: Im-3m, No. 229
- Energy relative to the elements, uncorrected: -1698 kJ/mol of formula units

Cell lengths 10.6565, 10.6565, 10.6565 Å; angles 109.47, 109.47, 109.47 degrees
Atoms (fractional coordinates):
Cs1 0.0000 0.0000 0.5000
Cs2 0.0000 0.5000 0.0000
Cs3 0.5000 0.0000 0.0000
Cs4 0.5000 0.5000 0.5000
Ag1 0.0000 0.0000 0.0000
Sn1 0.0000 0.5000 0.5000
Sn2 0.5000 0.0000 0.5000
Sn3 0.5000 0.5000 0.0000
I1 0.0000 0.2475 0.2475
I2 0.0000 0.7525 0.7525
I3 0.2475 0.0000 0.2475
I4 0.2475 0.2475 0.0000
I5 0.2500 0.5000 0.7500
I6 0.2500 0.7500 0.5000
I7 0.5000 0.2500 0.7500
I8 0.5000 0.7500 0.2500
I9 0.7500 0.2500 0.5000
I10 0.7500 0.5000 0.2500
I11 0.7525 0.0000 0.7525
I12 0.7525 0.7525 0.0000

***

Here is FeMo after structural relaxation from Alexandria. Energies are from PBE.

Output
- DFT formation energy: 0.573 eV per atom
- Symmetry: Fddd, No. 70

Cell lengths 6.0554, 5.6166, 4.9312 Å; angles 69.73, 60.47, 49.81 degrees
Atoms (fractional coordinates):
Fe1 0.0690 0.6810 0.6810
Fe2 0.3190 0.9310 0.9310
Fe3 0.6810 0.0690 0.0690
Fe4 0.9310 0.3190 0.3190
Mo1 0.1721 0.5779 0.1721
Mo2 0.4221 0.8279 0.4221
Mo3 0.5779 0.1721 0.5779
Mo4 0.8279 0.4221 0.8279

***

Here is LiAc2In2Rh5 after structural relaxation from Alexandria. Energies are from PBE.

Output
- DFT formation energy: -0.254 eV per atom
- Symmetry: P4/mbm, No. 127

Cell lengths 10.5729, 10.5729, 3.7010 Å; angles 90.00, 90.00, 90.00 degrees
Atoms (fractional coordinates):
Li1 0.0000 0.0000 0.0000
Li2 0.5000 0.5000 0.0000
Ac1 0.1731 0.3269 0.0000
Ac2 0.3269 0.8269 0.0000
Ac3 0.6731 0.1731 0.0000
Ac4 0.8269 0.6731 0.0000
In1 0.1266 0.6266 0.0000
In2 0.3734 0.1266 0.0000
In3 0.6266 0.8734 0.0000
In4 0.8734 0.3734 0.0000
Rh1 0.0000 0.5000 0.5000
Rh2 0.0524 0.8009 0.5000
Rh3 0.1991 0.0524 0.5000
Rh4 0.3009 0.5524 0.5000
Rh5 0.4476 0.3009 0.5000
Rh6 0.5000 0.0000 0.5000
Rh7 0.5524 0.6991 0.5000
Rh8 0.6991 0.4476 0.5000
Rh9 0.8009 0.9476 0.5000
Rh10 0.9476 0.1991 0.5000

***

Here is Li3InAg after structural relaxation from Alexandria. Energies are from PBE.

Output
- Polymorph energy (0 for the lowest one): 0 meV/atom
- DFT formation energy: -0.238 eV per atom
- Symmetry: P2_1/m, No. 11

Cell lengths 5.2938, 4.7290, 7.2963 Å; angles 90.00, 102.41, 90.00 degrees
Atoms (fractional coordinates):
Li1 0.0552 0.2500 0.3699
Li2 0.2547 0.2500 0.7686
Li3 0.4390 0.2500 0.1831
Li4 0.5610 0.7500 0.8169
Li5 0.7453 0.7500 0.2314
Li6 0.9448 0.7500 0.6301
In1 0.1737 0.7500 0.0338
In2 0.8263 0.2500 0.9662
Ag1 0.3540 0.7500 0.4350
Ag2 0.6460 0.2500 0.5650

***

Here is Pr4Pt2I5 after structural relaxation from Alexandria. Energies are from PBE.

Output
- Polymorph energy (0 for the lowest one): 0 meV/atom
- Symmetry: C2/m, No. 12
- Energy relative to the elements, uncorrected: -1205 kJ/mol of formula units

Cell lengths 12.7194, 12.7194, 8.8136 Å; angles 90.18, 90.18, 18.82 degrees
Atoms (fractional coordinates):
Pr1 0.0148 0.0148 0.3026
Pr2 0.3402 0.3402 0.5423
Pr3 0.6598 0.6598 0.4577
Pr4 0.9852 0.9852 0.6974
Pt1 0.4463 0.4463 0.4774
Pt2 0.5537 0.5537 0.5226
I1 0.1431 0.1431 0.1811
I2 0.2122 0.2122 0.6923
I3 0.5000 0.5000 0.0000
I4 0.7878 0.7878 0.3077
I5 0.8569 0.8569 0.8189

***

Here is ErMn2Al2C after structural relaxation from Alexandria. Energies are from PBE.

Output
- DFT formation energy: -0.324 eV per atom
- Symmetry: P4/mmm, No. 123

Cell lengths 3.9091, 3.9091, 5.5450 Å; angles 90.00, 90.00, 90.00 degrees
Atoms (fractional coordinates):
Er1 0.0000 0.0000 0.0000
Mn1 0.0000 0.5000 0.5000
Mn2 0.5000 0.0000 0.5000
Al1 0.5000 0.5000 0.2316
Al2 0.5000 0.5000 0.7684
C1 0.0000 0.0000 0.5000

***

Here is BaSrBiO after structural relaxation from Alexandria. Energies are from PBE.

Output
- Symmetry: Imm2, No. 44
- Energy relative to the elements, uncorrected: -619 kJ/mol of formula units

Cell lengths 8.2268, 8.2268, 8.2268 Å; angles 153.29, 150.26, 40.40 degrees
Atoms (fractional coordinates):
Ba1 0.0000 0.0000 0.0000
Sr1 0.3012 0.3012 0.0000
Bi1 0.6578 0.6578 0.0000
O1 0.3992 0.8992 0.5000

***

Here is KMg3CuAs3O12 after structural relaxation from Alexandria. Energies are from PBE.

Output
- Symmetry: C2/c, No. 15
- Energy relative to the elements, uncorrected: -3432 kJ/mol of formula units

Cell lengths 8.9333, 8.9333, 6.8599 Å; angles 105.53, 105.53, 92.93 degrees
Atoms (fractional coordinates):
K1 0.0153 0.9847 0.7500
K2 0.9847 0.0153 0.2500
Mg1 0.0608 0.3766 0.6288
Mg2 0.2572 0.7428 0.2500
Mg3 0.3766 0.0608 0.1288
Mg4 0.6234 0.9392 0.8712
Mg5 0.7428 0.2572 0.7500
Mg6 0.9392 0.6234 0.3712
Cu1 0.4976 0.5024 0.7500
Cu2 0.5024 0.4976 0.2500
As1 0.1223 0.3528 0.1271
As2 0.2853 0.7147 0.7500
As3 0.3528 0.1223 0.6271
As4 0.6472 0.8777 0.3729
As5 0.7147 0.2853 0.2500
As6 0.8777 0.6472 0.8729
O1 0.0086 0.6690 0.1188
O2 0.0290 0.4058 0.3205
O3 0.1746 0.7498 0.5234
O4 0.1760 0.1852 0.6221
O5 0.1852 0.1760 0.1221
O6 0.2502 0.8254 0.9766
O7 0.2754 0.5159 0.7378
O8 0.2761 0.5007 0.1845
O9 0.3310 0.9914 0.3812
O10 0.4058 0.0290 0.8205
O11 0.4841 0.7246 0.7622
O12 0.4993 0.7239 0.3155
O13 0.5007 0.2761 0.6845
O14 0.5159 0.2754 0.2378
O15 0.5942 0.9710 0.1795
O16 0.6690 0.0086 0.6188
O17 0.7239 0.4993 0.8155
O18 0.7246 0.4841 0.2622
O19 0.7498 0.1746 0.0234
O20 0.8148 0.8240 0.8779
O21 0.8240 0.8148 0.3779
O22 0.8254 0.2502 0.4766
O23 0.9710 0.5942 0.6795
O24 0.9914 0.3310 0.8812

***

Here is Ba2PrTl after structural relaxation from Alexandria. Energies are from PBE.

Output
- Polymorph energy (0 for the lowest one): 189 meV/atom
- DFT formation energy: 0.137 eV per atom
- Symmetry: R-3m, No. 166

Cell lengths 13.2632, 13.2632, 13.2632 Å; angles 17.26, 17.26, 17.26 degrees
Atoms (fractional coordinates):
Ba1 0.0966 0.0966 0.0966
Ba2 0.9034 0.9034 0.9034
Pr1 0.0000 0.0000 0.0000
Tl1 0.5000 0.5000 0.5000

***

Here is LaSnB3 after structural relaxation from Alexandria. Energies are from PBE.

Output
- Polymorph energy (0 for the lowest one): 0 meV/atom
- DFT formation energy: 1.240 eV per atom
- Symmetry: Pm-3m, No. 221

Cell lengths 4.4870, 4.4870, 4.4870 Å; angles 90.00, 90.00, 90.00 degrees
Atoms (fractional coordinates):
La1 0.0000 0.0000 0.0000
Sn1 0.5000 0.5000 0.5000
B1 0.0000 0.5000 0.5000
B2 0.5000 0.0000 0.5000
B3 0.5000 0.5000 0.0000

***

Here is La3CoSi2 after structural relaxation from Alexandria. Energies are from PBE.

Output
- Symmetry: Pnma, No. 62
- Energy relative to the elements, uncorrected: -349 kJ/mol of formula units

Cell lengths 12.0479, 4.2650, 11.7060 Å; angles 90.00, 90.00, 90.00 degrees
Atoms (fractional coordinates):
La1 0.0571 0.2500 0.1260
La2 0.1160 0.7500 0.5566
La3 0.2174 0.2500 0.7996
La4 0.2826 0.7500 0.2996
La5 0.3840 0.2500 0.0566
La6 0.4429 0.7500 0.6260
La7 0.5571 0.2500 0.3740
La8 0.6160 0.7500 0.9434
La9 0.7174 0.2500 0.7004
La10 0.7826 0.7500 0.2004
La11 0.8840 0.2500 0.4434
La12 0.9429 0.7500 0.8740
Co1 0.1310 0.2500 0.3627
Co2 0.3690 0.7500 0.8627
Co3 0.6310 0.2500 0.1373
Co4 0.8690 0.7500 0.6373
Si1 0.0322 0.7500 0.3162
Si2 0.2028 0.7500 0.9905
Si3 0.2972 0.2500 0.4905
Si4 0.4678 0.2500 0.8162
Si5 0.5322 0.7500 0.1838
Si6 0.7028 0.7500 0.5095
Si7 0.7972 0.2500 0.0095
Si8 0.9678 0.2500 0.6838

***

Here is Co3Pt4W after structural relaxation from Alexandria. Energies are from PBE.

Output
- DFT formation energy: 0.223 eV per atom
- Symmetry: C2/m, No. 12

Cell lengths 10.6907, 10.6907, 4.2821 Å; angles 91.25, 91.25, 14.41 degrees
Atoms (fractional coordinates):
Co1 0.0000 0.0000 0.0000
Co2 0.2084 0.2084 0.1358
Co3 0.7916 0.7916 0.8642
Pt1 0.3201 0.3201 0.3662
Pt2 0.4011 0.4011 0.8639
Pt3 0.5989 0.5989 0.1361
Pt4 0.6799 0.6799 0.6338
W1 0.5000 0.5000 0.5000

***

Here is RhSe3F after structural relaxation from Alexandria. Energies are from PBE.

Output
- Polymorph energy (0 for the lowest one): 0 meV/atom
- Symmetry: Pm-3m, No. 221
- Energy relative to the elements, uncorrected: 153 kJ/mol of formula units

Cell lengths 4.8589, 4.8589, 4.8589 Å; angles 90.00, 90.00, 90.00 degrees
Atoms (fractional coordinates):
Rh1 0.0000 0.0000 0.0000
Se1 0.0000 0.0000 0.5000
Se2 0.0000 0.5000 0.0000
Se3 0.5000 0.0000 0.0000
F1 0.5000 0.5000 0.5000

***

Here is Li2LaInPd4 after structural relaxation from Alexandria. Energies are from PBE.

Output
- DFT formation energy: -0.586 eV per atom
- Symmetry: R-3m, No. 166

Cell lengths 8.5994, 8.5994, 8.5994 Å; angles 30.45, 30.45, 30.45 degrees
Atoms (fractional coordinates):
Li1 0.2368 0.2368 0.2368
Li2 0.7632 0.7632 0.7632
La1 0.0000 0.0000 0.0000
In1 0.5000 0.5000 0.5000
Pd1 0.1234 0.1234 0.1234
Pd2 0.3913 0.3913 0.3913
Pd3 0.6087 0.6087 0.6087
Pd4 0.8766 0.8766 0.8766

***

Mass density per entry: 11897, 7553, 5117, 4489, 9053, 9674, 4533, 5735, 6724, 6030, 3905, 5745, 5332, 5873, 15561, 5194, 7953 kg/m³